No. 1
MgZr2Ag | PBE | optimized geometry

abc: 3.184 3.184 8.437
angles: 90.00 90.00 90.00
Element x y z (fractional)
Mg 0.000 0.000 0.000
Zr 0.000 0.000 0.543
Zr 0.500 0.500 0.285
Ag 0.500 0.500 0.791

density of states at the Fermi level: 2.26 states/eV/cell
magnetic moment: 0.00 μB/cell
formation energy from the elements: -0.112 eV/atom
space-group type: No. 99

=====

No. 2
Mg2ZrAg | PBE | optimized geometry

abc: 3.139 3.139 8.482
angles: 90.00 90.00 90.00
Element x y z (fractional)
Mg 0.000 0.000 0.000
Mg 0.500 0.500 0.273
Zr 0.000 0.000 0.542
Ag 0.500 0.500 0.788

density of states at the Fermi level: 2.51 states/eV/cell
magnetic moment: 0.35 μB/cell
formation energy from the elements: -0.060 eV/atom
space-group type: No. 99

=====

No. 3
MgZr2Ag | PBE | optimized geometry

abc: 6.023 6.023 2.927
angles: 99.02 99.02 123.42
Element x y z (fractional)
Mg 0.000 0.000 0.000
Zr 0.000 0.500 0.500
Zr 0.500 0.000 0.500
Ag 0.500 0.500 0.000

density of states at the Fermi level: 3.58 states/eV/cell
magnetic moment: 0.00 μB/cell
formation energy from the elements: 0.056 eV/atom
space-group type: No. 12

=====

No. 4
MgZr2Ag2 | PBE | optimized geometry

abc: 8.433 8.433 3.030
angles: 90.00 90.00 90.00
Element x y z (fractional)
Mg 0.000 0.000 0.000
Mg 0.500 0.500 0.000
Zr 0.167 0.333 0.000
Zr 0.333 0.833 0.000
Zr 0.667 0.167 0.000
Zr 0.833 0.667 0.000
Ag 0.127 0.627 0.500
Ag 0.373 0.127 0.500
Ag 0.627 0.873 0.500
Ag 0.873 0.373 0.500

density of states at the Fermi level: 6.79 states/eV/cell
magnetic moment: 0.00 μB/cell
formation energy from the elements: 0.178 eV/atom
space-group type: No. 127

=====

No. 5
MgZr2Ag | PBE | optimized geometry

abc: 6.337 6.337 6.337
angles: 100.84 100.84 128.59
Element x y z (fractional)
Mg 0.000 0.000 0.000
Mg 0.750 0.250 0.500
Zr 0.146 0.625 0.021
Zr 0.375 0.396 0.521
Zr 0.604 0.125 0.979
Zr 0.875 0.854 0.479
Ag 0.250 0.750 0.500
Ag 0.500 0.500 0.000

density of states at the Fermi level: 7.24 states/eV/cell
magnetic moment: 0.00 μB/cell
formation energy from the elements: 0.331 eV/atom
space-group type: No. 122

=====

No. 6
MgZr3Ag | PBE | optimized geometry

abc: 5.181 5.181 5.181
angles: 90.00 90.00 90.00
Element x y z (fractional)
Mg 0.000 0.000 0.000
Zr 0.000 0.500 0.500
Zr 0.500 0.000 0.500
Zr 0.500 0.500 0.000
Ag 0.500 0.500 0.500

density of states at the Fermi level: 9.86 states/eV/cell
magnetic moment: 0.00 μB/cell
formation energy from the elements: 0.858 eV/atom
space-group type: No. 221

=====

What did the sixth record say?
MgZr3Ag | PBE | optimized geometry

abc: 5.181 5.181 5.181
angles: 90.00 90.00 90.00
Element x y z (fractional)
Mg 0.000 0.000 0.000
Zr 0.000 0.500 0.500
Zr 0.500 0.000 0.500
Zr 0.500 0.500 0.000
Ag 0.500 0.500 0.500

density of states at the Fermi level: 9.86 states/eV/cell
magnetic moment: 0.00 μB/cell
formation energy from the elements: 0.858 eV/atom
space-group type: No. 221

=====

Repeat the sixth record exactly.
MgZr3Ag | PBE | optimized geometry

abc: 5.181 5.181 5.181
angles: 90.00 90.00 90.00
Element x y z (fractional)
Mg 0.000 0.000 0.000
Zr 0.000 0.500 0.500
Zr 0.500 0.000 0.500
Zr 0.500 0.500 0.000
Ag 0.500 0.500 0.500

density of states at the Fermi level: 9.86 states/eV/cell
magnetic moment: 0.00 μB/cell
formation energy from the elements: 0.858 eV/atom
space-group type: No. 221